No. 1
This record from Alexandria describes crystalline TlInP4 at its relaxed geometry. The functional is GGA-PBE.

```
data_TlInP4
_chemical_formula_sum 'Tl4 In4 P16'
_cell_length_a 8.4198
_cell_length_b 8.4198
_cell_length_c 8.4198
_cell_angle_alpha 90.00
_cell_angle_beta 90.00
_cell_angle_gamma 90.00
_space_group_name_H-M_alt 'F -4 3 m'
_space_group_IT_number 216
_space_group_name_Hall 'F -4 2 3'
loop_
_atom_site_label
_atom_site_fract_x
_atom_site_fract_y
_atom_site_fract_z
Tl1 0.0000 0.0000 0.0000
In1 0.2500 0.2500 0.7500
P1 0.0953 0.0953 0.4047
```

Results
E_form in eV per atom: 0.306

No. 2
This record from Alexandria describes crystalline BaMg2Mo at its relaxed geometry. The functional is GGA-PBE.

```
data_BaMg2Mo
_chemical_formula_sum 'Ba2 Mg4 Mo2'
_cell_length_a 10.4484
_cell_length_b 3.0746
_cell_length_c 6.3866
_cell_angle_alpha 90.00
_cell_angle_beta 97.38
_cell_angle_gamma 90.00
_space_group_name_H-M_alt 'C 1 2/m 1'
_space_group_IT_number 12
_space_group_name_Hall '-C 2y'
loop_
_atom_site_label
_atom_site_fract_x
_atom_site_fract_y
_atom_site_fract_z
Ba1 0.0000 0.0000 0.0000
Mg1 0.2316 0.0000 0.6853
Mo1 0.0000 0.5000 0.5000
```

Results
E_form in eV per atom: 0.666